DFT (PBE) results for a relaxed La2ZrW crystal.

Values from the calculation:
**ΔE to the lowest computed polymorph**: 330 meV per atom

Cell lengths 3.0577, 3.0577, 10.7893 Å; angles 90.00, 90.00, 90.00 degrees
Space group P4/mmm (No. 123)
Symmetry-distinct sites (fractional):
La 0.0000 0.0000 0.2307 (multiplicity 2)
Zr 0.5000 0.5000 0.5000 (multiplicity 1)
W 0.5000 0.5000 0.0000 (multiplicity 1)

---

DFT (PBE) results for a relaxed La2ZrW crystal.

Values from the calculation:
**ΔE to the lowest computed polymorph**: 114 meV per atom

Cell lengths 3.7022, 5.4101, 10.6354 Å; angles 90.00, 90.00, 90.00 degrees
Space group Imm2 (No. 44)
Symmetry-distinct sites (fractional):
La 0.0000 0.0000 0.0000 (multiplicity 2)
La 0.0000 0.5000 0.2238 (multiplicity 2)
Zr 0.0000 0.0000 0.4362 (multiplicity 2)
W 0.0000 0.5000 0.7518 (multiplicity 2)

---

DFT (PBE) results for a relaxed La2ZrW crystal.

Values from the calculation:
**ΔE to the lowest computed polymorph**: 223 meV per atom

Cell lengths 5.1874, 5.1874, 7.2889 Å; angles 90.00, 90.00, 90.00 degrees
Space group I-4m2 (No. 119)
Symmetry-distinct sites (fractional):
La 0.0000 0.0000 0.0000 (multiplicity 2)
La 0.0000 0.5000 0.2500 (multiplicity 2)
Zr 0.0000 0.5000 0.7500 (multiplicity 2)
W 0.0000 0.0000 0.5000 (multiplicity 2)

---

DFT (PBE) results for a relaxed La2ZrW crystal.

Values from the calculation:
**ΔE to the lowest computed polymorph**: 0 meV per atom

Cell lengths 3.5469, 3.5469, 8.5285 Å; angles 90.00, 90.00, 90.00 degrees
Space group P4mm (No. 99)
Symmetry-distinct sites (fractional):
La 0.0000 0.0000 0.0000 (multiplicity 1)
La 0.5000 0.5000 0.3334 (multiplicity 1)
Zr 0.5000 0.5000 0.7263 (multiplicity 1)
W 0.0000 0.0000 0.5666 (multiplicity 1)

---

DFT (PBE) results for a relaxed La2ZrW crystal.

Values from the calculation:
**ΔE to the lowest computed polymorph**: 102 meV per atom

Cell lengths 3.5451, 5.3931, 10.8926 Å; angles 90.00, 90.00, 90.00 degrees
Space group Cmm2 (No. 35)
Symmetry-distinct sites (fractional):
La 0.0000 0.0000 0.0000 (multiplicity 2)
La 0.0000 0.5000 0.3258 (multiplicity 2)
Zr 0.0000 0.0000 0.5953 (multiplicity 2)
W 0.0000 0.5000 0.7841 (multiplicity 2)

---

DFT (PBE) results for a relaxed La2ZrW crystal.

Values from the calculation:
**ΔE to the lowest computed polymorph**: 117 meV per atom

Cell lengths 3.2844, 4.6676, 6.8956 Å; angles 90.00, 102.86, 90.00 degrees
Space group Pm (No. 6)
Symmetry-distinct sites (fractional):
La 0.0000 0.0000 0.0000 (multiplicity 1)
La 0.3205 0.5000 0.6835 (multiplicity 1)
Zr 0.5988 0.0000 0.4247 (multiplicity 1)
W 0.8094 0.5000 0.2489 (multiplicity 1)

---

DFT (PBE) results for a relaxed La2ZrW crystal.

Values from the calculation:
**ΔE to the lowest computed polymorph**: 591 meV per atom

Cell lengths 8.6444, 8.6444, 5.9334 Å; angles 90.00, 90.00, 90.00 degrees
Space group I-42d (No. 122)
Symmetry-distinct sites (fractional):
La 0.1968 0.2500 0.1250 (multiplicity 8)
Zr 0.0000 0.0000 0.5000 (multiplicity 4)
W 0.0000 0.0000 0.0000 (multiplicity 4)

---

DFT (PBE) results for a relaxed LaZr4W crystal.

Cell lengths 8.1987, 8.1987, 8.1987 Å; angles 90.00, 90.00, 90.00 degrees
Space group F-43m (No. 216)
Symmetry-distinct sites (fractional):
La 0.0000 0.0000 0.0000 (multiplicity 4)
Zr 0.1237 0.1237 0.3763 (multiplicity 16)
W 0.2500 0.2500 0.7500 (multiplicity 4)

---

DFT (PBE) results for a relaxed La2ZrW crystal.

Values from the calculation:
**ΔE to the lowest computed polymorph**: 278 meV per atom

Cell lengths 4.3777, 4.3777, 5.2152 Å; angles 90.00, 90.00, 90.00 degrees
Space group P4/mmm (No. 123)
Symmetry-distinct sites (fractional):
La 0.0000 0.5000 0.0000 (multiplicity 2)
Zr 0.0000 0.0000 0.5000 (multiplicity 1)
W 0.5000 0.5000 0.5000 (multiplicity 1)

---

DFT (PBE) results for a relaxed La2ZrW crystal.

Values from the calculation:
**ΔE to the lowest computed polymorph**: 184 meV per atom

Cell lengths 9.2968, 3.1440, 7.1485 Å; angles 90.00, 93.23, 90.00 degrees
Space group Cm (No. 8)
Symmetry-distinct sites (fractional):
La 0.0000 0.0000 0.0000 (multiplicity 2)
La 0.2489 0.5000 0.3163 (multiplicity 2)
Zr 0.0063 0.5000 0.5791 (multiplicity 2)
W 0.2507 0.0000 0.7528 (multiplicity 2)

---

DFT (PBE) results for a relaxed La2ZrW crystal.

Values from the calculation:
**ΔE to the lowest computed polymorph**: 308 meV per atom

Cell lengths 3.2081, 5.2135, 6.0900 Å; angles 90.00, 101.36, 90.00 degrees
Space group P2/m (No. 10)
Symmetry-distinct sites (fractional):
La 0.1047 0.0000 0.2596 (multiplicity 2)
Zr 0.5000 0.5000 0.0000 (multiplicity 1)
W 0.5000 0.5000 0.5000 (multiplicity 1)

---

DFT (PBE) results for a relaxed LaY4 crystal.

Values from the calculation:
**ΔE to the lowest computed polymorph**: 0 meV per atom

Cell lengths 3.6100, 3.6100, 43.9536 Å; angles 90.00, 90.00, 120.00 degrees
Space group R-3m (No. 166, hexagonal axes)
Symmetry-distinct sites (fractional):
La 0.0000 0.0000 0.0000 (multiplicity 3)
Y 0.0000 0.0000 0.1997 (multiplicity 6)
Y 0.0000 0.0000 0.4014 (multiplicity 6)

---

DFT (PBE) results for a relaxed La6Y crystal.

Cell lengths 8.1904, 8.1904, 8.1904 Å; angles 90.00, 90.00, 90.00 degrees
Space group Im-3m (No. 229)
Symmetry-distinct sites (fractional):
La 0.0000 0.2500 0.5000 (multiplicity 12)
Y 0.0000 0.0000 0.0000 (multiplicity 2)

---

DFT (PBE) results for a relaxed LaY2 crystal.

Values from the calculation:
**ΔE to the lowest computed polymorph**: 14 meV per atom

Cell lengths 3.6400, 3.6400, 15.3716 Å; angles 90.00, 90.00, 90.00 degrees
Space group I4/mmm (No. 139)
Symmetry-distinct sites (fractional):
La 0.0000 0.0000 0.0000 (multiplicity 2)
Y 0.0000 0.0000 0.3310 (multiplicity 4)

---

DFT (PBE) results for a relaxed La6Y7 crystal.

Cell lengths 6.8178, 6.8178, 34.9923 Å; angles 90.00, 90.00, 120.00 degrees
Space group R-3m (No. 166, hexagonal axes)
Symmetry-distinct sites (fractional):
La 0.0000 0.0000 0.0520 (multiplicity 6)
La 0.0000 0.0000 0.1553 (multiplicity 6)
La 0.0000 0.0000 0.3333 (multiplicity 6)
Y 0.0000 0.0000 0.5000 (multiplicity 3)
Y 0.0018 0.5009 0.9140 (multiplicity 18)

---

DFT (PBE) results for a relaxed LaY2 crystal.

Values from the calculation:
**ΔE to the lowest computed polymorph**: 92 meV per atom

Cell lengths 3.6053, 35.8775, 3.5379 Å; angles 90.00, 118.15, 90.00 degrees
Space group C2/c (No. 15)
Symmetry-distinct sites (fractional):
La 0.0000 0.2074 0.2500 (multiplicity 4)
Y 0.0000 0.0416 0.7500 (multiplicity 4)
Y 0.0000 0.3777 0.7500 (multiplicity 4)

---

DFT (PBE) results for a relaxed LaY3 crystal.

Cell lengths 5.1199, 5.1199, 5.1199 Å; angles 90.00, 90.00, 90.00 degrees
Space group Pm-3m (No. 221)
Symmetry-distinct sites (fractional):
La 0.0000 0.0000 0.0000 (multiplicity 1)
Y 0.0000 0.5000 0.5000 (multiplicity 3)

---

DFT (PBE) results for a relaxed LaY2 crystal.

Values from the calculation:
**ΔE to the lowest computed polymorph**: 9 meV per atom

Cell lengths 3.6442, 5.1313, 10.8644 Å; angles 90.00, 90.00, 90.00 degrees
Space group Immm (No. 71)
Symmetry-distinct sites (fractional):
La 0.0000 0.0000 0.0000 (multiplicity 2)
Y 0.0000 0.0000 0.3316 (multiplicity 4)

---

DFT (PBE) results for a relaxed LaY2 crystal.

Values from the calculation:
**ΔE to the lowest computed polymorph**: 15 meV per atom

Cell lengths 13.2445, 3.6941, 8.6343 Å; angles 90.00, 103.64, 90.00 degrees
Space group Cm (No. 8)
Symmetry-distinct sites (fractional):
La 0.0000 0.0000 0.0000 (multiplicity 2)
La 0.1656 0.5000 0.3339 (multiplicity 2)
Y 0.0529 0.0000 0.6113 (multiplicity 2)
Y 0.2237 0.5000 0.9379 (multiplicity 2)
Y 0.3320 0.0000 0.6635 (multiplicity 2)
Y 0.3855 0.0000 0.2774 (multiplicity 2)

---

DFT (PBE) results for a relaxed LaY4 crystal.

Values from the calculation:
**ΔE to the lowest computed polymorph**: 13 meV per atom

Cell lengths 11.0367, 7.1372, 8.9060 Å; angles 90.00, 108.06, 90.00 degrees
Space group C2/m (No. 12)
Symmetry-distinct sites (fractional):
La 0.0000 0.2474 0.0000 (multiplicity 4)
Y 0.1004 0.2497 0.4018 (multiplicity 8)
Y 0.1937 0.5000 0.7769 (multiplicity 4)
Y 0.1948 0.0000 0.7772 (multiplicity 4)

---

The calculation returns the following ΔH_f (0 K) values, one per record and in order: 0.64; 0.42; 0.53; 0.31; 0.41; 0.43; 0.90; 0.59; 0.59; 0.49; 0.62; 0.02; 0.90; 0.03; 0.25; 0.11; 0.03; 0.02; 0.03; 0.03 eV/atom.